! SmMgTl | Alexandria via LeMat-Bulk | GGA-PBE | optimized geometry; values from VASP
! DOS at the Fermi energy (states/eV/atom): 0.13
&SYSTEM
  ibrav = 0, nat = 9, ntyp = 3
/
ATOMIC_SPECIES
Sm 150.36 Sm.upf
Tl 204.38 Tl.upf
Mg 24.30 Mg.upf
ATOMIC_POSITIONS crystal
Sm 0.000 0.571 0.000
Tl 0.333 0.667 0.500
Sm 0.571 0.000 0.000
Mg 0.000 0.243 0.500
Sm 0.429 0.429 0.000
Tl 0.667 0.333 0.500
Tl 0.000 0.000 0.000
Mg 0.757 0.757 0.500
Mg 0.243 0.000 0.500
CELL_PARAMETERS angstrom
7.663 0.000 0.000
-3.832 6.636 0.000
0.000 0.000 4.737

! Sm6Mg2Tl | Alexandria via LeMat-Bulk | GGA-PBE | optimized geometry; values from VASP
! DOS at the Fermi energy (states/eV/atom): 1.17
! Energy above the lowest structure with this stoichiometry (meV/atom): 0.0
&SYSTEM
  ibrav = 0, nat = 9, ntyp = 3
/
ATOMIC_SPECIES
Sm 150.36 Sm.upf
Mg 24.30 Mg.upf
Tl 204.38 Tl.upf
ATOMIC_POSITIONS crystal
Sm 0.680 0.180 0.460
Mg 0.601 0.560 0.238
Sm 0.042 0.102 0.814
Tl 0.000 0.500 0.500
Sm 0.320 0.820 0.540
Mg 0.399 0.440 0.762
Sm 0.311 0.269 0.109
Sm 0.689 0.731 0.891
Sm 0.958 0.898 0.186
CELL_PARAMETERS angstrom
0.502 -3.566 -0.523
6.366 -0.075 -6.026
7.143 -1.666 5.559

! Sm5MgTl3 | Alexandria via LeMat-Bulk | GGA-PBE | optimized geometry; values from VASP
! DOS at the Fermi energy (states/eV/atom): 1.03
&SYSTEM
  ibrav = 0, nat = 18, ntyp = 3
/
ATOMIC_SPECIES
Sm 150.36 Sm.upf
Tl 204.38 Tl.upf
Mg 24.30 Mg.upf
ATOMIC_POSITIONS crystal
Sm 0.750 0.697 0.697
Tl 0.250 0.358 0.000
Sm 0.750 0.000 0.303
Sm 0.500 0.667 0.333
Sm 0.250 0.697 0.000
Tl 0.750 0.000 0.641
Mg 0.500 0.000 0.000
Tl 0.250 0.641 0.641
Tl 0.250 0.000 0.359
Sm 0.000 0.667 0.333
Tl 0.750 0.359 0.359
Sm 0.750 0.303 0.000
Sm 0.000 0.333 0.667
Mg 0.000 0.000 0.000
Tl 0.750 0.642 0.000
Sm 0.500 0.333 0.667
Sm 0.250 0.303 0.303
Sm 0.250 0.000 0.697
CELL_PARAMETERS angstrom
6.730 0.000 0.000
0.000 9.521 0.000
0.000 -4.761 8.245

! Sm5MgTl6 | Alexandria via LeMat-Bulk | GGA-PBE | optimized geometry; values from VASP
! DOS at the Fermi energy (states/eV/atom): 0.72
&SYSTEM
  ibrav = 0, nat = 12, ntyp = 3
/
ATOMIC_SPECIES
Tl 204.38 Tl.upf
Sm 150.36 Sm.upf
Mg 24.30 Mg.upf
ATOMIC_POSITIONS crystal
Tl 0.249 0.586 0.329
Tl 0.248 0.252 0.000
Sm 0.500 0.500 0.000
Mg 0.000 0.000 0.000
Tl 0.751 0.414 0.671
Sm 0.500 0.844 0.311
Sm 0.500 0.156 0.689
Sm 0.000 0.671 0.658
Tl 0.751 0.085 0.329
Sm 0.000 0.329 0.342
Tl 0.249 0.915 0.671
Tl 0.752 0.748 0.000
CELL_PARAMETERS angstrom
5.004 1.813 0.000
2.357 9.168 0.000
1.178 4.584 8.146

no.,total magnetization (μB per formula unit),E_form (kJ/mol of formula units)
1,0.00,-102
2,0.00,-31
3,0.00,-257
4,0.00,-381